1.
Density functional theory data (PBE-GGA) for a geometry-optimized CsTl2InBi2 structure.

Cell: 5.554 8.657 9.539 Å, 90.00 90.00 90.00°
Atoms (fractional coordinates):
Cs 0.000 0.108 0.000
Cs 0.000 0.892 0.500
Tl 0.000 0.331 0.646
Tl 0.000 0.669 0.146
Tl 0.500 0.448 0.967
Tl 0.500 0.552 0.467
In 0.500 0.179 0.354
In 0.500 0.821 0.854
Bi 0.000 0.365 0.322
Bi 0.000 0.635 0.822
Bi 0.500 0.152 0.698
Bi 0.500 0.848 0.198

Values from the calculation:
Crystal system: orthorhombic
Space group: No. 26
Uncorrected energy, eV/atom: -2.789
Energy of formation, eV/atom: -0.11
Fermi-level density of states, states/eV/f.u.: 3.846

2.
Density functional theory data (PBE-GGA) for a geometry-optimized Ag2SI structure.

Cell: 5.025 5.025 5.025 Å, 60.00 60.00 60.00°
Atoms (fractional coordinates):
Ag 0.250 0.250 0.250
Ag 0.750 0.750 0.750
S 0.000 0.000 0.000
I 0.500 0.500 0.500

Values from the calculation:
Crystal system: cubic
Space group: No. 225
Distance to the lowest polymorph of the same formula, meV/atom: 406.3
Uncorrected energy, eV/atom: -2.466
Fermi-level density of states, states/eV/f.u.: 4.666
Formation energy (no corrections), meV per atom: 379

3.
Density functional theory data (PBE-GGA) for a geometry-optimized SrLiPbI5 structure.

Cell: 8.432 8.432 11.716 Å, 104.65 104.65 104.86°
Atoms (fractional coordinates):
Sr 0.000 0.500 0.000
Sr 0.500 0.000 0.500
Li 0.070 0.930 0.750
Li 0.930 0.070 0.250
Pb 0.383 0.617 0.750
Pb 0.617 0.383 0.250
I 0.167 0.759 0.559
I 0.171 0.291 0.819
I 0.241 0.833 0.941
I 0.291 0.171 0.319
I 0.364 0.636 0.250
I 0.636 0.364 0.750
I 0.709 0.829 0.681
I 0.759 0.167 0.059
I 0.829 0.709 0.181
I 0.833 0.241 0.441

Values from the calculation:
Crystal system: monoclinic
Space group: No. 15
Uncorrected energy, eV/atom: -2.986
Fermi-level density of states, states/eV/f.u.: 0.000
Formation energy (no corrections), meV per atom: -1104

4.
Density functional theory data (PBE-GGA) for a geometry-optimized NaTa2Pt structure.

Cell: 6.124 6.124 6.124 Å, 101.54 101.54 126.86°
Atoms (fractional coordinates):
Na 0.000 0.000 0.000
Na 0.750 0.250 0.500
Ta 0.177 0.625 0.052
Ta 0.375 0.427 0.552
Ta 0.573 0.125 0.948
Ta 0.875 0.823 0.448
Pt 0.250 0.750 0.500
Pt 0.500 0.500 0.000

Values from the calculation:
Crystal system: tetragonal
Space group: No. 122
Distance to the lowest polymorph of the same formula, meV/atom: 80.1
Uncorrected energy, eV/atom: -7.181
Energy of formation, eV/atom: 0.59
Fermi-level density of states, states/eV/f.u.: 4.786

5.
Density functional theory data (PBE-GGA) for a geometry-optimized Ag4PdAu7 structure.

Cell: 5.067 5.890 7.692 Å, 78.75 70.98 89.87°
Atoms (fractional coordinates):
Ag 0.000 0.166 0.333
Ag 0.000 0.834 0.667
Ag 0.498 0.417 0.334
Ag 0.502 0.583 0.666
Pd 0.000 0.000 0.000
Au 0.000 0.500 0.000
Au 0.001 0.669 0.333
Au 0.494 0.082 0.667
Au 0.499 0.248 0.000
Au 0.501 0.752 0.000
Au 0.506 0.918 0.333
Au 0.999 0.331 0.667

Values from the calculation:
Crystal system: triclinic
Space group: No. 2
Distance to the lowest polymorph of the same formula, meV/atom: 0.0
Uncorrected energy, eV/atom: -3.352
Energy of formation, eV/atom: -0.06
Fermi-level density of states, states/eV/f.u.: 3.287

6.
Density functional theory data (PBE-GGA) for a geometry-optimized Hg3Pd3Au structure.

Cell: 6.586 6.586 6.221 Å, 90.00 90.00 90.33°
Atoms (fractional coordinates):
Hg 0.222 0.222 0.500
Hg 0.239 0.239 0.000
Hg 0.239 0.761 0.000
Hg 0.761 0.239 0.000
Hg 0.761 0.761 0.000
Hg 0.778 0.778 0.500
Pd 0.000 0.500 0.251
Pd 0.000 0.500 0.749
Pd 0.500 0.000 0.251
Pd 0.500 0.000 0.749
Pd 0.500 0.500 0.263
Pd 0.500 0.500 0.737
Au 0.235 0.765 0.500
Au 0.765 0.235 0.500

Values from the calculation:
Crystal system: orthorhombic
Space group: No. 65
Uncorrected energy, eV/atom: -2.935
Energy of formation, eV/atom: -0.11
Fermi-level density of states, states/eV/f.u.: 2.801

7.
Density functional theory data (PBE-GGA) for a geometry-optimized CaNiMo2 structure.

Cell: 5.261 5.261 5.261 Å, 143.55 123.49 69.14°
Atoms (fractional coordinates):
Ca 0.000 0.000 0.000
Ni 0.267 0.767 0.500
Mo 0.502 0.502 0.000
Mo 0.712 0.212 0.500

Values from the calculation:
Crystal system: orthorhombic
Space group: No. 44
Distance to the lowest polymorph of the same formula, meV/atom: 249.9
Uncorrected energy, eV/atom: -6.787
Energy of formation, eV/atom: 0.57
Fermi-level density of states, states/eV/f.u.: 3.783

8.
Density functional theory data (PBE-GGA) for a geometry-optimized TmSi3Ni structure.

Cell: 5.182 5.613 5.372 Å, 90.00 90.20 90.00°
Atoms (fractional coordinates):
Tm 0.132 0.250 0.287
Tm 0.868 0.750 0.713
Si 0.065 0.750 0.193
Si 0.363 0.028 0.807
Si 0.363 0.472 0.807
Si 0.637 0.528 0.193
Si 0.637 0.972 0.193
Si 0.935 0.250 0.807
Ni 0.376 0.750 0.488
Ni 0.624 0.250 0.512

Values from the calculation:
Crystal system: monoclinic
Space group: No. 11
Uncorrected energy, eV/atom: -5.804
Fermi-level density of states, states/eV/f.u.: 2.328
Formation energy (no corrections), meV per atom: -500

9.
Density functional theory data (PBE-GGA) for a geometry-optimized SrNd2F structure.

Cell: 10.000 10.000 10.000 Å, 22.39 22.39 22.39°
Atoms (fractional coordinates):
Sr 0.000 0.000 0.000
Nd 0.120 0.120 0.120
Nd 0.880 0.880 0.880
F 0.500 0.500 0.500

Values from the calculation:
Crystal system: trigonal
Space group: No. 166
Uncorrected energy, eV/atom: -4.227
Fermi-level density of states, states/eV/f.u.: 5.294
Formation energy (no corrections), meV per atom: -955

10.
Density functional theory data (PBE-GGA) for a geometry-optimized HfUGa6 structure.

Cell: 4.170 4.170 8.368 Å, 90.00 90.00 90.00°
Atoms (fractional coordinates):
Hf 0.000 0.000 0.000
U 0.000 0.000 0.500
Ga 0.000 0.500 0.244
Ga 0.000 0.500 0.756
Ga 0.500 0.000 0.244
Ga 0.500 0.000 0.756
Ga 0.500 0.500 0.000
Ga 0.500 0.500 0.500

Values from the calculation:
Crystal system: tetragonal
Space group: No. 123
Uncorrected energy, eV/atom: -5.252
Energy of formation, eV/atom: -0.33
Fermi-level density of states, states/eV/f.u.: 6.547

11.
Density functional theory data (PBE-GGA) for a geometry-optimized SrMg2Ni structure.

Cell: 6.281 6.281 5.233 Å, 114.44 114.44 31.00°
Atoms (fractional coordinates):
Sr 0.000 0.000 0.000
Mg 0.194 0.194 0.693
Mg 0.806 0.806 0.307
Ni 0.500 0.500 0.500

Values from the calculation:
Crystal system: monoclinic
Space group: No. 12
Uncorrected energy, eV/atom: -2.627
Energy of formation, eV/atom: 0.04
Fermi-level density of states, states/eV/f.u.: 2.927

12.
Density functional theory data (PBE-GGA) for a geometry-optimized LiEr3 structure.

Cell: 3.305 3.386 10.601 Å, 90.00 90.00 90.00°
Atoms (fractional coordinates):
Li 0.000 0.000 0.000
Er 0.000 0.500 0.261
Er 0.500 0.000 0.493
Er 0.500 0.500 0.774

Values from the calculation:
Crystal system: orthorhombic
Space group: No. 25
Distance to the lowest polymorph of the same formula, meV/atom: 210.2
Uncorrected energy, eV/atom: -3.612
Energy of formation, eV/atom: 0.29
Fermi-level density of states, states/eV/f.u.: 6.191

> Which of these has the highest Fermi-level density of states?

HfUGa6

> Which formula does entry 4 have?

NaTa2Pt